## CoPtO3 (PBE with a Hubbard U)

Data for a relaxed structure of CoPtO3.

a = 10.0014 Å, b = 8.7213 Å, c = 4.8118 Å
α = 90.00°, β = 95.38°, γ = 90.00°
Space group C2/c (No. 15)
Unique sites:
Co1 0.0000 0.0843 0.2500 x4
Co2 0.0000 0.3152 0.7500 x4
Pt1 0.2412 0.3519 0.2207 x8
O1 0.0954 0.0752 0.9340 x8
O2 0.1135 0.2358 0.4555 x8
O3 0.1295 0.4477 0.9186 x8

Results
Uncorrected energy   -5.69 eV per atom


## Co2Pt2O5 (PBE with a Hubbard U)

Data for a relaxed structure of Co2Pt2O5.

a = 3.9240 Å, b = 3.9240 Å, c = 6.6370 Å
α = 90.00°, β = 90.00°, γ = 90.00°
Space group P4/mmm (No. 123)
Unique sites:
Co1 0.0000 0.0000 0.0000 x1
Co2 0.0000 0.0000 0.5000 x1
Pt1 0.5000 0.5000 0.1891 x2
O1 0.0000 0.5000 0.2428 x4
O2 0.5000 0.5000 0.5000 x1

Results
Uncorrected energy   -5.19 eV per atom


## CoPtO2 (PBE with a Hubbard U)

Data for a relaxed structure of CoPtO2.

a = 2.8301 Å, b = 2.8301 Å, c = 17.8916 Å
α = 90.00°, β = 90.00°, γ = 120.00°
Space group R-3m (No. 166, hexagonal axes)
Unique sites:
Co1 0.0000 0.0000 0.0000 x3
Pt1 0.0000 0.0000 0.5000 x3
O1 0.0000 0.0000 0.3881 x6

Results
Uncorrected energy   -6.05 eV per atom


## CoPtO3 (PBE with a Hubbard U)

Data for a relaxed structure of CoPtO3.

a = 3.6935 Å, b = 3.6935 Å, c = 3.6935 Å
α = 90.00°, β = 90.00°, γ = 90.00°
Space group Pm-3m (No. 221)
Unique sites:
Co1 0.0000 0.0000 0.0000 x1
Pt1 0.5000 0.5000 0.5000 x1
O1 0.0000 0.0000 0.5000 x3

Results
Uncorrected energy   -4.91 eV per atom


## CoPtO3 (PBE with a Hubbard U)

Data for a relaxed structure of CoPtO3.

a = 5.2752 Å, b = 5.2752 Å, c = 13.5101 Å
α = 90.00°, β = 90.00°, γ = 120.00°
Space group R-3c (No. 167, hexagonal axes)
Unique sites:
Co1 0.0000 0.0000 0.2500 x6
Pt1 0.0000 0.0000 0.0000 x6
O1 0.0000 0.3585 0.2500 x18

Results
Uncorrected energy   -5.78 eV per atom


## CoPtO3 (PBE with a Hubbard U)

Data for a relaxed structure of CoPtO3.

a = 5.1936 Å, b = 5.1936 Å, c = 13.7487 Å
α = 90.00°, β = 90.00°, γ = 120.00°
Space group R-3 (No. 148, hexagonal axes)
Unique sites:
Co1 0.0000 0.0000 0.1396 x6
Pt1 0.0000 0.0000 0.3422 x6
O1 0.0086 0.3119 0.2507 x18

Results
Uncorrected energy   -5.90 eV per atom